## PrHoPd3 (PBE)

Data for PrHoPd3 after structural relaxation.

Geometry as CIF:
```
data_PrHoPd3
_chemical_formula_sum 'Pr4 Ho4 Pd12'
_symmetry_space_group_name_H-M 'P 1 21/c 1'
_symmetry_Int_Tables_number 14
_cell_length_a 9.2131
_cell_length_b 5.8290
_cell_length_c 8.3530
_cell_angle_alpha 90.00
_cell_angle_beta 100.98
_cell_angle_gamma 90.00
loop_
_symmetry_equiv_pos_as_xyz
'x,y,z'
'-x,-y,-z'
'-x,y+1/2,-z+1/2'
'x,-y+1/2,z+1/2'
loop_
_atom_site_label
_atom_site_type_symbol
_atom_site_fract_x
_atom_site_fract_y
_atom_site_fract_z
Pr1 Pr 0.1147 0.0929 0.2204
Ho1 Ho 0.4407 0.7225 0.6242
Pd1 Pd 0.1171 0.6548 0.0362
Pd2 Pd 0.2573 0.5418 0.3453
Pd3 Pd 0.3478 0.1972 0.5755
```

Computed properties:
- Mass density: 9.428 Mg/m³
- Raw total energy: -5.78 eV/atom
- V: 440 Å³ per cell